Entry 1:
Material: Dy2Ho6Tm3
Method: DFT, PBE
State: relaxed

Computed properties:
As for the distance to the lowest polymorph of the same formula: 0.2727 eV per atom. For the energy of formation from the pure elements, the calculation gives 0.296 eV per atom.

abc: 16.7436 16.7436 16.7436
angles: 163.98 163.98 22.74
With the nearest neighbours (Å) after each atom.
Positions (direct):
Dy  0.0460  0.0460  0.0000  1 Dy 3.02
Dy  0.9540  0.9540  0.0000  1 Dy 3.02
Ho  0.1217  0.6217  0.5000  6 Ho 3.30-3.40, 2 Dy 3.41, 2 Tm 3.47
Ho  0.1968  0.1968  0.0000  5 Tm 3.30-3.39, 4 Ho 3.40
Ho  0.3783  0.8783  0.5000  6 Ho 3.30-3.40, 2 Dy 3.41, 2 Tm 3.47
Ho  0.6217  0.1217  0.5000  6 Ho 3.30-3.40, 2 Dy 3.41, 2 Tm 3.47
Ho  0.8032  0.8032  0.0000  5 Tm 3.30-3.39, 4 Ho 3.40
Ho  0.8783  0.3783  0.5000  6 Ho 3.30-3.40, 2 Dy 3.41, 2 Tm 3.47
Tm  0.3002  0.3002  0.0000  9 Ho 3.30-3.47
Tm  0.5000  0.5000  0.0000  8 Dy 3.63
Tm  0.6998  0.6998  0.0000  9 Ho 3.30-3.47

---

Entry 2:
Material: Hf6IrRu5
Method: DFT, PBE
State: relaxed

Computed properties:
For the energy of formation from the pure elements, the calculation gives -0.833 eV per atom.

abc: 7.9478 7.9478 7.9478
angles: 146.47 131.64 60.13
With the nearest neighbours (Å) after each atom.
Positions (direct):
Hf  0.0816  0.3328  0.7488  7 Ru 2.81-2.82, 1 Ir 2.82
Hf  0.2476  0.0000  0.2476  6 Ru 2.80-2.82, 2 Ir 2.82
Hf  0.4160  0.6672  0.7488  7 Ru 2.81-2.82, 1 Ir 2.82
Hf  0.5840  0.3328  0.2512  7 Ru 2.81-2.82, 1 Ir 2.82
Hf  0.7524  0.0000  0.7524  6 Ru 2.80-2.82, 2 Ir 2.82
Hf  0.9184  0.6672  0.2512  7 Ru 2.81-2.82, 1 Ir 2.82
Ir  0.5000  0.5000  0.0000  8 Hf 2.82
Ru  0.0000  0.5000  0.5000  8 Hf 2.80-2.81
Ru  0.1667  0.1667  0.0000  8 Hf 2.80-2.81
Ru  0.3338  0.8338  0.5000  8 Hf 2.81-2.82
Ru  0.6662  0.1662  0.5000  8 Hf 2.81-2.82
Ru  0.8333  0.8333  0.0000  8 Hf 2.80-2.81

---

Entry 3:
Material: SrIn6Ag3
Method: DFT, PBE
State: relaxed

Computed properties:
For the energy of formation from the pure elements, the calculation gives -0.144 eV per atom.

abc: 9.9536 4.9289 10.3118
angles: 90.00 101.89 90.00
With the nearest neighbours (Å) after each atom.
Positions (direct):
Sr  0.0774  0.2500  0.2636  10 In 3.44-3.64, 6 Ag 3.47-3.84
Sr  0.9226  0.7500  0.7364  10 In 3.44-3.64, 6 Ag 3.47-3.84
In  0.1102  0.2500  0.6219  4 Ag 2.88-2.93, 1 In 3.14
In  0.1382  0.7500  0.0476  3 Ag 2.87-3.08, 1 In 3.03
In  0.2847  0.7500  0.7927  4 Ag 2.91-3.19, 3 In 3.08-3.26
In  0.3451  0.7500  0.3079  3 Ag 2.87-2.96, 5 In 3.01-3.18
In  0.3790  0.2500  0.5066  4 In 3.01-3.18, 2 Ag 3.16
In  0.4604  0.2500  0.8949  4 Ag 2.99-3.03, 5 In 3.08-3.27
In  0.5396  0.7500  0.1051  4 Ag 2.99-3.03, 5 In 3.08-3.27
In  0.6210  0.7500  0.4934  4 In 3.01-3.18, 2 Ag 3.16
In  0.6549  0.2500  0.6921  3 Ag 2.87-2.96, 5 In 3.01-3.18
In  0.7153  0.2500  0.2073  4 Ag 2.91-3.19, 3 In 3.08-3.26
In  0.8618  0.2500  0.9524  3 Ag 2.87-3.08, 1 In 3.03
In  0.8898  0.7500  0.3781  4 Ag 2.88-2.93, 1 In 3.14
Ag  0.1599  0.2500  0.9116  7 In 2.87-3.12, 1 Ag 3.07
Ag  0.1811  0.7500  0.5071  7 In 2.87-3.16
Ag  0.3886  0.2500  0.1624  6 In 2.96-3.19, 1 Ag 3.07
Ag  0.6114  0.7500  0.8376  6 In 2.96-3.19, 1 Ag 3.07
Ag  0.8189  0.2500  0.4929  7 In 2.87-3.16
Ag  0.8401  0.7500  0.0884  7 In 2.87-3.12, 1 Ag 3.07

---

Entry 4:
Material: LaTbTm2
Method: DFT, PBE
State: relaxed

Computed properties:
As for the distance to the lowest polymorph of the same formula: 0.0097 eV per atom. For the energy of formation from the pure elements, the calculation gives 0.025 eV per atom.

abc: 6.2383 7.2989 11.4390
angles: 90.00 90.01 90.00
With the nearest neighbours (Å) after each atom.
Positions (direct):
La  0.1731  0.0002  0.3751  4 Tb 3.55-3.67, 6 Tm 3.56-3.67, 2 La 3.58
La  0.1731  0.9998  0.8751  4 Tb 3.55-3.67, 6 Tm 3.56-3.67, 2 La 3.58
La  0.8269  0.0002  0.1249  4 Tb 3.55-3.67, 6 Tm 3.56-3.67, 2 La 3.58
La  0.8269  0.9998  0.6249  4 Tb 3.55-3.67, 6 Tm 3.56-3.67, 2 La 3.58
Tb  0.3321  0.2574  0.1239  7 Tm 3.51-3.77, 4 La 3.55-3.67, 1 Tb 3.56
Tb  0.3321  0.7426  0.6239  7 Tm 3.51-3.77, 4 La 3.55-3.67, 1 Tb 3.56
Tb  0.6679  0.2574  0.3761  7 Tm 3.51-3.77, 4 La 3.55-3.67, 1 Tb 3.56
Tb  0.6679  0.7426  0.8761  7 Tm 3.51-3.77, 4 La 3.55-3.67, 1 Tb 3.56
Tm  0.1668  0.4994  0.3750  6 Tm 3.50-3.60, 4 Tb 3.51-3.59, 2 La 3.64-3.66
Tm  0.1668  0.5006  0.8750  6 Tm 3.50-3.60, 4 Tb 3.51-3.59, 2 La 3.64-3.66
Tm  0.3305  0.2596  0.6259  5 Tm 3.50-3.60, 3 Tb 3.53-3.77, 4 La 3.56-3.67
Tm  0.3305  0.7404  0.1259  5 Tm 3.50-3.60, 3 Tb 3.53-3.77, 4 La 3.56-3.67
Tm  0.6695  0.2596  0.8741  5 Tm 3.50-3.60, 3 Tb 3.53-3.77, 4 La 3.56-3.67
Tm  0.6695  0.7404  0.3741  5 Tm 3.50-3.60, 3 Tb 3.53-3.77, 4 La 3.56-3.67
Tm  0.8332  0.4994  0.1250  6 Tm 3.50-3.60, 4 Tb 3.51-3.59, 2 La 3.64-3.66
Tm  0.8332  0.5006  0.6250  6 Tm 3.50-3.60, 4 Tb 3.51-3.59, 2 La 3.64-3.66

---

Entry 5:
Material: UPaMnGe
Method: DFT, PBE
State: relaxed

Computed properties:
For the energy of formation from the pure elements, the calculation gives 0.169 eV per atom.

abc: 6.7306 6.7306 6.7306
angles: 90.00 90.00 90.00
With the nearest neighbours (Å) after each atom.
Positions (direct):
U  0.0000  0.0000  0.0000  4 Ge 2.91, 4 Pa 2.91
U  0.0000  0.5000  0.5000  4 Ge 2.91, 4 Pa 2.91
U  0.5000  0.0000  0.5000  4 Ge 2.91, 4 Pa 2.91
U  0.5000  0.5000  0.0000  4 Ge 2.91, 4 Pa 2.91
Pa  0.2500  0.2500  0.2500  4 Mn 2.91, 4 U 2.91
Pa  0.2500  0.7500  0.7500  4 Mn 2.91, 4 U 2.91
Pa  0.7500  0.2500  0.7500  4 Mn 2.91, 4 U 2.91
Pa  0.7500  0.7500  0.2500  4 Mn 2.91, 4 U 2.91
Mn  0.0000  0.0000  0.5000  4 Ge 2.91, 4 Pa 2.91
Mn  0.0000  0.5000  0.0000  4 Ge 2.91, 4 Pa 2.91
Mn  0.5000  0.0000  0.0000  4 Ge 2.91, 4 Pa 2.91
Mn  0.5000  0.5000  0.5000  4 Ge 2.91, 4 Pa 2.91
Ge  0.2500  0.2500  0.7500  4 Mn 2.91, 4 U 2.91
Ge  0.2500  0.7500  0.2500  4 Mn 2.91, 4 U 2.91
Ge  0.7500  0.2500  0.2500  4 Mn 2.91, 4 U 2.91
Ge  0.7500  0.7500  0.7500  4 Mn 2.91, 4 U 2.91

---

Entry 6:
Material: Tm2ThSnC
Method: DFT, PBE
State: relaxed

Computed properties:
For the energy of formation from the pure elements, the calculation gives -0.520 eV per atom.

abc: 4.8575 4.8575 5.0403
angles: 90.00 90.00 90.00
With the nearest neighbours (Å) after each atom.
Positions (direct):
Tm  0.0000  0.5000  0.0000  2 C 2.43
Tm  0.5000  0.0000  0.0000  2 C 2.43
Th  0.0000  0.0000  0.5000  2 C 2.52
Sn  0.5000  0.5000  0.5000  4 Th 3.43, 8 Tm 3.50
C  0.0000  0.0000  0.0000  4 Tm 2.43, 2 Th 2.52